(1)
{"formula": "SiSbOF2", "functional": "GGA-PBE", "state": "relaxed", "lattice": [[4.6652, 0.0000, 0.0000], [0.0000, 4.6652, 0.0000], [0.0000, 0.0000, 3.3649]], "species": ["Si", "Sb", "O", "F", "F"], "frac_coords": [[0.0000, 0.0000, 0.0000], [0.5000, 0.5000, 0.5000], [0.0000, 0.0000, 0.5000], [0.0000, 0.5000, 0.0000], [0.5000, 0.0000, 0.0000]], "formation_energy_uncorrected_ev_per_atom": -1.099, "magmom_total_mub_per_cell": 0.68, "polymorph_energy_kj_per_mol_atoms": 0.0, "sg": "No. 123"}

***

(2)
{"formula": "Si2TeSe", "functional": "GGA-PBE", "state": "relaxed", "lattice": [[-3.5513, 3.5513, 3.8873], [3.5513, -3.5513, 3.8873], [3.5513, 3.5513, -3.8873]], "species": ["Si", "Si", "Si", "Si", "Te", "Te", "Se", "Se"], "frac_coords": [[0.1046, 0.6250, 0.9796], [0.3750, 0.3546, 0.4796], [0.6454, 0.1250, 0.0204], [0.8750, 0.8954, 0.5204], [0.2500, 0.7500, 0.5000], [0.5000, 0.5000, 0.0000], [0.0000, 0.0000, 0.0000], [0.7500, 0.2500, 0.5000]], "formation_energy_uncorrected_ev_per_atom": 0.376, "magmom_total_mub_per_cell": 0.00, "polymorph_energy_kj_per_mol_atoms": 42.5, "sg": "No. 122"}

***

(3)
{"formula": "Tb2Nd7", "functional": "GGA-PBE", "state": "relaxed", "lattice": [[10.0071, 0.0000, 0.0000], [-5.0036, 8.6664, 0.0000], [0.0000, 0.0000, 3.5865]], "species": ["Tb", "Tb", "Nd", "Nd", "Nd", "Nd", "Nd", "Nd", "Nd"], "frac_coords": [[0.3333, 0.6667, 0.0000], [0.6667, 0.3333, 0.0000], [0.0000, 0.0000, 0.5000], [0.0000, 0.3599, 0.5000], [0.0000, 0.6911, 0.0000], [0.3089, 0.3089, 0.0000], [0.3599, 0.0000, 0.5000], [0.6401, 0.6401, 0.5000], [0.6911, 0.0000, 0.0000]], "e_form_ev_per_fu": 0.34, "magmom_total_mub_per_cell": 0.00, "polymorph_energy_kj_per_mol_atoms": 2.3, "sg": "No. 189"}